No. 1
# Dy4C2O (PBE, optimized geometry)
data_Dy4C2O
_space_group_name_H-M_alt 'R -3 m'
_space_group_IT_number 166
_space_group_name_Hall '-R 3 2"'
_cell_length_a 3.5525
_cell_length_b 3.5525
_cell_length_c 36.0061
_cell_angle_alpha 90.00
_cell_angle_beta 90.00
_cell_angle_gamma 120.00
loop_
_atom_site_label
_atom_site_fract_x
_atom_site_fract_y
_atom_site_fract_z
Dy1 0.0000 0.0000 0.1154
Dy2 0.0000 0.0000 0.2936
C1 0.0000 0.0000 0.4133
O1 0.0000 0.0000 0.0000
# **Formation energy (no corrections)**: -1.1156 eV/atom
# **Spin magnetization**: 0.0 Bohr magnetons per cell

=====

No. 2
# TlSnBi (PBE, optimized geometry)
data_TlSnBi
_space_group_name_H-M_alt 'F -4 3 m'
_space_group_IT_number 216
_space_group_name_Hall 'F -4 2 3'
_cell_length_a 7.5360
_cell_length_b 7.5360
_cell_length_c 7.5360
_cell_angle_alpha 90.00
_cell_angle_beta 90.00
_cell_angle_gamma 90.00
loop_
_atom_site_label
_atom_site_fract_x
_atom_site_fract_y
_atom_site_fract_z
Tl1 0.0000 0.0000 0.0000
Sn1 0.2500 0.2500 0.7500
Bi1 0.0000 0.0000 0.5000
# **Spin magnetization**: 0.0 Bohr magnetons per cell
# **DFT formation energy**: 53 meV per atom

=====

No. 3
# LaZrCu (PBE, optimized geometry)
data_LaZrCu
_space_group_name_H-M_alt 'P n m a'
_space_group_IT_number 62
_cell_length_a 8.5177
_cell_length_b 3.3613
_cell_length_c 9.7192
_cell_angle_alpha 90.00
_cell_angle_beta 90.00
_cell_angle_gamma 90.00
loop_
_space_group_symop_operation_xyz
'x,y,z'
'-x,-y,-z'
'-x+1/2,-y,z+1/2'
'x+1/2,y,-z+1/2'
'x+1/2,-y+1/2,-z+1/2'
'-x+1/2,y+1/2,z+1/2'
'-x,y+1/2,-z'
'x,-y+1/2,z'
loop_
_atom_site_label
_atom_site_fract_x
_atom_site_fract_y
_atom_site_fract_z
La1 0.1632 0.2500 0.0679
Zr1 0.0608 0.2500 0.3762
Cu1 0.1518 0.2500 0.7684
# **Spin magnetization**: 0.0 Bohr magnetons per cell
# **DFT formation energy**: 93 meV per atom

=====

No. 4
# Tm6TcSn2 (PBE, optimized geometry)
data_Tm6TcSn2
_space_group_name_H-M_alt 'P -6 2 m'
_space_group_IT_number 189
_space_group_name_Hall 'P -6 -2'
_cell_length_a 7.9668
_cell_length_b 7.9668
_cell_length_c 4.3547
_cell_angle_alpha 90.00
_cell_angle_beta 90.00
_cell_angle_gamma 120.00
loop_
_atom_site_label
_atom_site_fract_x
_atom_site_fract_y
_atom_site_fract_z
Tm1 0.0000 0.2409 0.0000
Tm2 0.0000 0.6004 0.5000
Tc1 0.0000 0.0000 0.5000
Sn1 0.3333 0.6667 0.0000
# **Spin magnetization**: 0.0 Bohr magnetons per cell
# **DFT formation energy**: -468 meV per atom

=====

No. 5
# ZrCdP2S (PBE, optimized geometry)
data_ZrCdP2S
_space_group_name_H-M_alt 'P 4/m m m'
_space_group_IT_number 123
_space_group_name_Hall '-P 4 2'
_cell_length_a 5.0962
_cell_length_b 5.0962
_cell_length_c 4.9072
_cell_angle_alpha 90.00
_cell_angle_beta 90.00
_cell_angle_gamma 90.00
loop_
_atom_site_label
_atom_site_fract_x
_atom_site_fract_y
_atom_site_fract_z
Zr1 0.0000 0.0000 0.0000
Cd1 0.5000 0.5000 0.5000
P1 0.0000 0.5000 0.0000
S1 0.0000 0.0000 0.5000
# **Formation energy (no corrections)**: 0.1005 eV/atom
# **Spin magnetization**: 0.0 Bohr magnetons per cell

=====

No. 6
# NbTc2S2 (PBE, optimized geometry)
data_NbTc2S2
_space_group_name_H-M_alt 'P 4/m b m'
_space_group_IT_number 127
_space_group_name_Hall '-P 4 2ab'
_cell_length_a 6.8977
_cell_length_b 6.8977
_cell_length_c 3.0186
_cell_angle_alpha 90.00
_cell_angle_beta 90.00
_cell_angle_gamma 90.00
loop_
_atom_site_label
_atom_site_fract_x
_atom_site_fract_y
_atom_site_fract_z
Nb1 0.0000 0.0000 0.0000
Tc1 0.1455 0.3545 0.5000
S1 0.1631 0.6631 0.0000
# **Formation energy (no corrections)**: -0.0679 eV/atom
# **Spin magnetization**: 0.0 Bohr magnetons per cell

=====

No. 7
# TaBe3Fe (PBE, optimized geometry)
data_TaBe3Fe
_space_group_name_H-M_alt 'P m -3 m'
_space_group_IT_number 221
_space_group_name_Hall '-P 4 2 3'
_cell_length_a 3.8269
_cell_length_b 3.8269
_cell_length_c 3.8269
_cell_angle_alpha 90.00
_cell_angle_beta 90.00
_cell_angle_gamma 90.00
loop_
_atom_site_label
_atom_site_fract_x
_atom_site_fract_y
_atom_site_fract_z
Ta1 0.0000 0.0000 0.0000
Be1 0.0000 0.5000 0.5000
Fe1 0.5000 0.5000 0.5000
# **Spin magnetization**: 0.0 Bohr magnetons per cell
# **DFT formation energy**: 370 meV per atom

=====

No. 8
# SrBi3Pd2 (PBE, optimized geometry)
data_SrBi3Pd2
_space_group_name_H-M_alt 'C 1 2/m 1'
_space_group_IT_number 12
_cell_length_a 17.3836
_cell_length_b 4.4948
_cell_length_c 9.0586
_cell_angle_alpha 90.00
_cell_angle_beta 113.37
_cell_angle_gamma 90.00
loop_
_space_group_symop_operation_xyz
'x,y,z'
'-x,-y,-z'
'-x,y,-z'
'x,-y,z'
'x+1/2,y+1/2,z'
'-x+1/2,-y+1/2,-z'
'-x+1/2,y+1/2,-z'
'x+1/2,-y+1/2,z'
loop_
_atom_site_label
_atom_site_fract_x
_atom_site_fract_y
_atom_site_fract_z
Sr1 0.1215 0.0000 0.1314
Bi1 0.0334 0.0000 0.6846
Bi2 0.1652 0.5000 0.4530
Bi3 0.1818 0.5000 0.8666
Pd1 0.0087 0.5000 0.8487
Pd2 0.1959 0.0000 0.6622
# **Spin magnetization**: 0.0 Bohr magnetons per cell
# **DFT formation energy**: -415 meV per atom

=====

No. 9
# In4SiTe (PBE, optimized geometry)
data_In4SiTe
_space_group_name_H-M_alt 'F -4 3 m'
_space_group_IT_number 216
_space_group_name_Hall 'F -4 2 3'
_cell_length_a 8.7420
_cell_length_b 8.7420
_cell_length_c 8.7420
_cell_angle_alpha 90.00
_cell_angle_beta 90.00
_cell_angle_gamma 90.00
loop_
_atom_site_label
_atom_site_fract_x
_atom_site_fract_y
_atom_site_fract_z
In1 0.1246 0.1246 0.1246
Si1 0.2500 0.2500 0.7500
Te1 0.0000 0.0000 0.5000
# **Formation energy (no corrections)**: 0.4026 eV/atom
# **Spin magnetization**: 0.0 Bohr magnetons per cell

=====

No. 10
# Gd2TlRu (PBE, optimized geometry)
data_Gd2TlRu
_space_group_name_H-M_alt 'R -3 m'
_space_group_IT_number 166
_space_group_name_Hall '-R 3 2"'
_cell_length_a 3.8503
_cell_length_b 3.8503
_cell_length_c 25.3563
_cell_angle_alpha 90.00
_cell_angle_beta 90.00
_cell_angle_gamma 120.00
loop_
_atom_site_label
_atom_site_fract_x
_atom_site_fract_y
_atom_site_fract_z
Gd1 0.0000 0.0000 0.2320
Tl1 0.0000 0.0000 0.0000
Ru1 0.0000 0.0000 0.5000
# **Spin magnetization**: 42.2 Bohr magnetons per cell
# **DFT formation energy**: -205 meV per atom

=====

No. 11
# CsNa2Ca2 (PBE, optimized geometry)
data_CsNa2Ca2
_space_group_name_H-M_alt 'I 4/m m m'
_space_group_IT_number 139
_space_group_name_Hall '-I 4 2'
_cell_length_a 5.5031
_cell_length_b 5.5031
_cell_length_c 18.1182
_cell_angle_alpha 90.00
_cell_angle_beta 90.00
_cell_angle_gamma 90.00
loop_
_atom_site_label
_atom_site_fract_x
_atom_site_fract_y
_atom_site_fract_z
Cs1 0.0000 0.0000 0.0000
Na1 0.0000 0.5000 0.2500
Ca1 0.0000 0.0000 0.3904
# **Spin magnetization**: 0.0 Bohr magnetons per cell
# **DFT formation energy**: 293 meV per atom

=====

No. 12
# TaMoOs2 (PBE, optimized geometry)
data_TaMoOs2
_space_group_name_H-M_alt 'P 4/m m m'
_space_group_IT_number 123
_space_group_name_Hall '-P 4 2'
_cell_length_a 4.6046
_cell_length_b 4.6046
_cell_length_c 2.9747
_cell_angle_alpha 90.00
_cell_angle_beta 90.00
_cell_angle_gamma 90.00
loop_
_atom_site_label
_atom_site_fract_x
_atom_site_fract_y
_atom_site_fract_z
Ta1 0.0000 0.0000 0.0000
Mo1 0.5000 0.5000 0.0000
Os1 0.0000 0.5000 0.5000
# **Spin magnetization**: 0.0 Bohr magnetons per cell
# **DFT formation energy**: 79 meV per atom